# CeMgAg

Crystalline CeMgAg at its relaxed geometry (PBE-GGA, Alexandria). Values from VASP.

Computed properties:
Total magnetization (μB per atom): 0.1784
ΔH_f (0 K) (eV per atom): -0.0752
Total energy (eV per formula unit): -10.6
SG: I4/mmm

Cell and atoms, written as Quantum ESPRESSO input:
```
&SYSTEM
  ibrav = 0, nat = 12, ntyp = 3
/
ATOMIC_SPECIES
Ce 140.12 Ce.upf
Mg 24.30 Mg.upf
Ag 107.87 Ag.upf
ATOMIC_POSITIONS angstrom
Ce 0.000 0.000 1.324
Ce 0.000 0.000 24.570
Ce 1.604 1.604 11.623
Ce 1.604 1.604 14.271
Mg 0.000 0.000 5.360
Mg 0.000 0.000 20.533
Mg 1.604 1.604 7.587
Mg 1.604 1.604 18.307
Ag 0.000 0.000 9.290
Ag 0.000 0.000 16.604
Ag 1.604 1.604 3.657
Ag 1.604 1.604 22.237
CELL_PARAMETERS angstrom
3.208 0.000 0.000
0.000 3.208 0.000
0.000 0.000 25.894
```